Entry 1:
# PBE Pu2TcN5, relaxed
# **Uncorrected energy**: -339.16 eV per cell
# **Energy relative to the elements, uncorrected**: -399 kJ/mol of formula units
data_Pu2TcN5
_chemical_formula_sum 'Pu8 Tc4 N20'
_cell_length_a 4.062
_cell_length_b 11.069
_cell_length_c 10.558
_cell_angle_alpha 90.00
_cell_angle_beta 90.00
_cell_angle_gamma 90.00
_space_group_name_H-M_alt 'C m c m'
_space_group_IT_number 63
_space_group_name_Hall '-C 2c 2'
loop_
_atom_site_label
_atom_site_type_symbol
_atom_site_fract_x
_atom_site_fract_y
_atom_site_fract_z
Pu1 Pu 0.000 0.145 0.073
Tc1 Tc 0.000 0.166 0.750
N1 N 0.000 0.054 0.622
N2 N 0.000 0.269 0.250
N3 N 0.000 0.302 0.568



Entry 2:
# PBE Ba6Al7, relaxed
# **Uncorrected energy**: -115.75 eV per cell
# **Formation energy from the elements**: -0.065 eV/atom
data_Ba6Al7
_chemical_formula_sum 'Ba18 Al21'
_cell_length_a 6.0629
_cell_length_b 6.0629
_cell_length_c 40.8986
_cell_angle_alpha 90.00
_cell_angle_beta 90.00
_cell_angle_gamma 120.00
_space_group_name_H-M_alt 'R -3 m'
_space_group_IT_number 166
_space_group_name_Hall '-R 3 2"'
loop_
_atom_site_label
_atom_site_type_symbol
_atom_site_fract_x
_atom_site_fract_y
_atom_site_fract_z
Ba1 Ba 0.0000 0.0000 0.0617
Ba2 Ba 0.0000 0.0000 0.1504
Ba3 Ba 0.0000 0.0000 0.3629
Al1 Al 0.0000 0.0000 0.5000
Al2 Al 0.0006 0.5003 0.8933



Entry 3:
# PBE Ce3Zr3NbN8, relaxed
# **Uncorrected energy**: -426.15 eV per cell
# **Energy relative to the elements, uncorrected**: -2116 kJ/mol of formula units
data_Ce3Zr3NbN8
_chemical_formula_sum 'Ce9 Zr9 Nb3 N24'
_cell_length_a 6.5698
_cell_length_b 6.5698
_cell_length_c 17.1037
_cell_angle_alpha 90.00
_cell_angle_beta 90.00
_cell_angle_gamma 120.00
_space_group_name_H-M_alt 'R -3 m'
_space_group_IT_number 166
_space_group_name_Hall '-R 3 2"'
loop_
_atom_site_label
_atom_site_type_symbol
_atom_site_fract_x
_atom_site_fract_y
_atom_site_fract_z
Ce1 Ce 0.0000 0.5000 0.0000
Zr1 Zr 0.0000 0.5000 0.5000
Nb1 Nb 0.0000 0.0000 0.5000
N1 N 0.0000 0.0000 0.2408
N2 N 0.0177 0.5088 0.2382